Record 1
The following is a DFT calculation (PBE-GGA) of a relaxed VNiPd crystal.

N(E_F) ... 3.2 states/eV/f.u.
Electronic total energy ... -6.60 eV per atom
Energy above the lowest structure with this stoichiometry ... 333.7 meV per atom
Symmetry ... Cmcm
Energy of formation ... 0.100 eV per atom

Cell lengths 4.7894, 2.6177, 6.7993 Å; angles 78.90, 90.00, 90.00 degrees
Closest atoms and distances in Å follow each position.
Positions (direct):
1 Pd 0.7500 0.6517 0.6965  5 Ni 2.56-2.73, 2 Pd 2.62, 4 V 2.69
2 Pd 0.2500 0.3483 0.3035  5 Ni 2.56-2.73, 2 Pd 2.62, 4 V 2.69
3 V 0.5000 0.0000 0.0000  4 V 2.39-2.62, 2 Ni 2.41
4 V 0.0000 0.0000 0.0000  4 V 2.39-2.62, 2 Ni 2.41
5 Ni 0.7500 0.8432 0.3135  2 V 2.41, 1 Pd 2.56, 2 Ni 2.62
6 Ni 0.2500 0.1568 0.6865  2 V 2.41, 1 Pd 2.56, 2 Ni 2.62

***

Record 2
The following is a DFT calculation (PBE-GGA) of a relaxed Ac2CdPd3 crystal.

N(E_F) ... 3.9 states/eV/f.u.
Electronic total energy ... -4.81 eV per atom
Energy above the lowest structure with this stoichiometry ... 0.0 meV per atom
Symmetry ... Imm2
Energy of formation ... -0.694 eV per atom

Cell lengths 4.2866, 4.2334, 9.2668 Å; angles 103.20, 103.37, 90.00 degrees
Closest atoms and distances in Å follow each position.
Positions (direct):
1 Ac 0.1295 0.1295 0.2591  10 Pd 3.29-3.68
2 Ac 0.8505 0.3505 0.7011  6 Pd 3.13-3.29
3 Cd 0.4579 0.9579 0.9159  3 Pd 2.71-2.75
4 Pd 0.7066 0.7066 0.4132  3 Pd 2.67-2.71
5 Pd 0.5543 0.5543 0.1087  1 Pd 2.67, 2 Cd 2.71
6 Pd 0.3011 0.8011 0.6021  2 Pd 2.71, 1 Cd 2.75

***

Record 3
The following is a DFT calculation (PBE-GGA) of a relaxed TiVSb2Te crystal.

N(E_F) ... 6.1 states/eV/f.u.
Electronic total energy ... -5.12 eV per atom
Energy above the lowest structure with this stoichiometry ... 0.0 meV per atom
Symmetry ... P4/mmm

Cell lengths 5.2381, 5.2381, 5.2769 Å; angles 90.00, 90.00, 90.00 degrees
Closest atoms and distances in Å follow each position.
Positions (direct):
1 Sb 0.0000 0.5000 0.0000  2 Ti 2.62
2 Sb 0.5000 0.0000 0.0000  2 Ti 2.62
3 Te 0.0000 0.0000 0.5000  2 Ti 2.64
4 Ti 0.0000 0.0000 0.0000  4 Sb 2.62, 2 Te 2.64
5 V 0.5000 0.5000 0.5000  4 Te 3.70, 8 Sb 3.72

***

Record 4
The following is a DFT calculation (PBE-GGA) of a relaxed NdCu2Pt2 crystal.

N(E_F) ... 1.8 states/eV/f.u.
Electronic total energy ... -5.57 eV per atom
Symmetry ... I4/mmm
Energy of formation ... -0.558 eV per atom

Cell lengths 4.0540, 4.0540, 11.4471 Å; angles 100.20, 100.20, 90.00 degrees
Closest atoms and distances in Å follow each position.
Positions (direct):
1 Nd 0.6284 0.6284 0.2568  4 Cu 3.08, 8 Pt 3.15-3.37
2 Nd 0.3716 0.3716 0.7432  4 Cu 3.08, 8 Pt 3.15-3.37
3 Cu 0.0000 0.5000 0.0000  4 Pt 2.54
4 Cu 0.1796 0.1796 0.3591  5 Pt 2.45-2.56
5 Cu 0.5000 0.0000 0.0000  4 Pt 2.54
6 Cu 0.8204 0.8204 0.6409  5 Pt 2.45-2.56
7 Pt 0.7500 0.2500 0.5000  4 Cu 2.56
8 Pt 0.9308 0.9308 0.8617  5 Cu 2.45-2.54
9 Pt 0.0692 0.0692 0.1383  5 Cu 2.45-2.54
10 Pt 0.2500 0.7500 0.5000  4 Cu 2.56

***

Record 5
The following is a DFT calculation (PBE-GGA) of a relaxed CrFe2Co2 crystal.

N(E_F) ... 4.9 states/eV/f.u.
Electronic total energy ... -7.93 eV per atom
Energy above the lowest structure with this stoichiometry ... 0.0 meV per atom
Symmetry ... P4/mbm
Energy of formation ... 0.225 eV per atom

Cell lengths 6.6203, 6.6203, 2.7166 Å; angles 90.00, 90.00, 90.00 degrees
Closest atoms and distances in Å follow each position.
Positions (direct):
1 Cr 0.0000 0.0000 0.0000  4 Co 2.59, 2 Cr 2.72, 8 Fe 2.82
2 Cr 0.5000 0.5000 0.0000  4 Co 2.59, 2 Cr 2.72, 8 Fe 2.82
3 Co 0.3680 0.8680 0.0000  6 Fe 2.33-2.40, 1 Co 2.47, 2 Cr 2.59
4 Co 0.8680 0.6320 0.0000  6 Fe 2.33-2.40, 1 Co 2.47, 2 Cr 2.59
5 Co 0.6320 0.1320 0.0000  6 Fe 2.33-2.40, 1 Co 2.47, 2 Cr 2.59
6 Co 0.1320 0.3680 0.0000  6 Fe 2.33-2.40, 1 Co 2.47, 2 Cr 2.59
7 Fe 0.1652 0.6652 0.5000  6 Co 2.33-2.40
8 Fe 0.6652 0.8348 0.5000  6 Co 2.33-2.40
9 Fe 0.8348 0.3348 0.5000  6 Co 2.33-2.40
10 Fe 0.3348 0.1652 0.5000  6 Co 2.33-2.40

***

Record 6
The following is a DFT calculation (PBE-GGA) of a relaxed CrOs4Ru2 crystal.

N(E_F) ... 5.5 states/eV/f.u.
Electronic total energy ... -10.25 eV per atom
Symmetry ... C2/m
Energy of formation ... 0.191 eV per atom

Cell lengths 2.7120, 6.4350, 6.7272 Å; angles 119.71, 101.63, 90.00 degrees
Closest atoms and distances in Å follow each position.
Positions (direct):
1 Cr 0.0000 0.0000 0.0000  2 Ru 2.43, 6 Os 2.58-2.71, 2 Cr 2.71
2 Os 0.1498 0.8278 0.2995  8 Os 2.70-2.82, 3 Ru 2.71-2.73, 1 Cr 2.71
3 Os 0.8502 0.1722 0.7005  8 Os 2.70-2.82, 3 Ru 2.71-2.73, 1 Cr 2.71
4 Os 0.4445 0.6159 0.8890  7 Os 2.56-2.82, 2 Cr 2.58, 3 Ru 2.72
5 Os 0.5555 0.3841 0.1110  7 Os 2.56-2.82, 2 Cr 2.58, 3 Ru 2.72
6 Ru 0.2090 0.2966 0.4180  1 Cr 2.43, 4 Ru 2.65-2.71, 4 Os 2.71-2.72
7 Ru 0.7910 0.7034 0.5820  1 Cr 2.43, 4 Ru 2.65-2.71, 4 Os 2.71-2.72

***

Record 7
The following is a DFT calculation (PBE-GGA) of a relaxed CeEuRuRh crystal.

N(E_F) ... 6.5 states/eV/f.u.
Electronic total energy ... -8.50 eV per atom
Symmetry ... F-43m
Energy of formation ... -0.290 eV per atom

Cell lengths 4.9075, 4.9075, 4.9075 Å; angles 60.00, 60.00, 60.00 degrees
Closest atoms and distances in Å follow each position.
Positions (direct):
1 Eu 0.5000 0.5000 0.5000  4 Rh 3.01, 4 Ru 3.01
2 Ru 0.2500 0.2500 0.2500  4 Eu 3.01, 4 Ce 3.01
3 Rh 0.7500 0.7500 0.7500  4 Ce 3.01, 4 Eu 3.01
4 Ce 0.0000 0.0000 0.0000  4 Ru 3.01, 4 Rh 3.01

***

Record 8
The following is a DFT calculation (PBE-GGA) of a relaxed InGe crystal.

N(E_F) ... 1.7 states/eV/f.u.
Electronic total energy ... -3.39 eV per atom
Symmetry ... F-43m
Energy of formation ... 0.284 eV per atom

Cell lengths 6.2299, 6.2299, 6.2299 Å; angles 90.00, 90.00, 90.00 degrees
Closest atoms and distances in Å follow each position.
Positions (direct):
1 In 0.0000 0.0000 0.0000  4 Ge 2.70
2 In 0.0000 0.5000 0.5000  4 Ge 2.70
3 In 0.5000 0.0000 0.5000  4 Ge 2.70
4 In 0.5000 0.5000 0.0000  4 Ge 2.70
5 Ge 0.2500 0.2500 0.2500  4 In 2.70
6 Ge 0.2500 0.7500 0.7500  4 In 2.70
7 Ge 0.7500 0.2500 0.7500  4 In 2.70
8 Ge 0.7500 0.7500 0.2500  4 In 2.70

***

Record 9
The following is a DFT calculation (PBE-GGA) of a relaxed ZrMnHN2 crystal.

N(E_F) ... 1.0 states/eV/f.u.
Electronic total energy ... -7.32 eV per atom
Symmetry ... P4/mmm

Cell lengths 4.2103, 3.6987, 4.2103 Å; angles 90.00, 90.00, 90.00 degrees
Closest atoms and distances in Å follow each position.
Positions (direct):
1 H 0.0000 0.5000 0.0000  2 Zr 1.85
2 Mn 0.5000 0.5000 0.5000  8 N 2.80, 4 H 2.98
3 Zr 0.0000 0.0000 0.0000  2 H 1.85
4 N 0.0000 0.0000 0.5000  2 Zr 2.11
5 N 0.5000 0.0000 0.0000  2 Zr 2.11

***

Record 10
The following is a DFT calculation (PBE-GGA) of a relaxed CaDyZnSi crystal.

N(E_F) ... 3.3 states/eV/f.u.
Electronic total energy ... -3.69 eV per atom
Symmetry ... F-43m

Cell lengths 5.0283, 5.0283, 5.0283 Å; angles 60.00, 60.00, 60.00 degrees
Closest atoms and distances in Å follow each position.
Positions (direct):
1 Zn 0.2500 0.2500 0.2500  4 Dy 3.08, 4 Ca 3.08
2 Si 0.7500 0.7500 0.7500  4 Dy 3.08, 4 Ca 3.08
3 Ca 0.5000 0.5000 0.5000  4 Si 3.08, 4 Zn 3.08
4 Dy 0.0000 0.0000 0.0000  4 Si 3.08, 4 Zn 3.08

***

Record 11
The following is a DFT calculation (PBE-GGA) of a relaxed GdHoAlGa crystal.

N(E_F) ... 1.6 states/eV/f.u.
Electronic total energy ... -6.84 eV per atom
Symmetry ... F-43m
Energy of formation ... -0.479 eV per atom

Cell lengths 5.0886, 5.0886, 5.0886 Å; angles 60.00, 60.00, 60.00 degrees
Closest atoms and distances in Å follow each position.
Positions (direct):
1 Gd 0.5000 0.5000 0.5000  4 Al 3.12, 4 Ga 3.12
2 Ho 0.0000 0.0000 0.0000  4 Al 3.12, 4 Ga 3.12
3 Ga 0.7500 0.7500 0.7500  4 Gd 3.12, 4 Ho 3.12
4 Al 0.2500 0.2500 0.2500  4 Gd 3.12, 4 Ho 3.12

***

Record 12
The following is a DFT calculation (PBE-GGA) of a relaxed Dy2Er2Si4Ir crystal.

N(E_F) ... 8.1 states/eV/f.u.
Electronic total energy ... -5.82 eV per atom
Symmetry ... I4/mmm

Cell lengths 6.4155, 6.4192, 6.4192 Å; angles 97.28, 115.87, 115.87 degrees
Closest atoms and distances in Å follow each position.
Positions (direct):
1 Dy 0.5000 0.7501 0.2499  8 Si 3.21, 4 Er 3.45
2 Dy 0.5000 0.2499 0.7501  8 Si 3.21, 4 Er 3.45
3 Er 0.9998 0.6877 0.6877  1 Ir 2.65, 4 Si 2.90
4 Er 0.0002 0.3123 0.3123  1 Ir 2.65, 4 Si 2.90
5 Si 0.0000 0.7512 0.2488  1 Ir 2.40
6 Si 0.5024 0.7512 0.7512  1 Ir 2.40
7 Si 0.0000 0.2488 0.7512  1 Ir 2.40
8 Si 0.4976 0.2488 0.2488  1 Ir 2.40
9 Ir 0.0000 0.0000 0.0000  4 Si 2.40, 2 Er 2.65